Material: BaCr2Ru
Method: DFT, PBE
State: optimized geometry

Values from the calculation:
**VASP energy**: -27.9 eV per formula unit
**Crystal system**: monoclinic
**Space-group type**: Pm (6)
**Volume**: 19.519 Å³/atom

```
BaCr2Ru
1.0
3.1151 0.0000 0.0000
0.0000 3.1160 0.0000
-0.0178 0.0000 8.0436
Ba Cr Ru
1 2 1
direct
0.0000 0.0000 0.0000
0.9999 0.0000 0.5247
0.5001 0.5000 0.3475
0.5003 0.5000 0.6849
```